Record 1
Entry from Alexandria: an optimized crystal structure of Y4RuPt3 (PBE).

Values from the calculation:
Space group: P4/mmm
Energy of formation from the pure elements: -1.009 eV per atom

a b c (Å): 3.460 3.460 14.036
angles (deg): 90.00 90.00 90.00
Positions (direct):
Y  0.000  0.000  0.120
Y  0.000  0.000  0.373
Y  0.000  0.000  0.627
Y  0.000  0.000  0.880
Ru  0.500  0.500  0.000
Pt  0.500  0.500  0.248
Pt  0.500  0.500  0.500
Pt  0.500  0.500  0.752

Record 2
Entry from Alexandria: an optimized crystal structure of Y8Ru3Pt2 (PBE).

Values from the calculation:
Space group: Cmmm
Energy of formation from the pure elements: -0.594 eV per atom

a b c (Å): 8.410 8.410 4.840
angles (deg): 90.00 90.00 109.73
Positions (direct):
Y  0.120  0.880  0.000
Y  0.130  0.370  0.500
Y  0.370  0.130  0.500
Y  0.378  0.622  0.000
Y  0.622  0.378  0.000
Y  0.630  0.870  0.500
Y  0.870  0.630  0.500
Y  0.880  0.120  0.000
Ru  0.251  0.251  0.000
Ru  0.500  0.500  0.500
Ru  0.749  0.749  0.000
Pt  0.250  0.750  0.500
Pt  0.750  0.250  0.500

Record 3
Entry from Alexandria: an optimized crystal structure of Y4Ru3Pt (PBE).

Values from the calculation:
Space group: P4/mmm
Energy of formation from the pure elements: -0.533 eV per atom

a b c (Å): 4.857 4.857 6.841
angles (deg): 90.00 90.00 90.00
Positions (direct):
Y  0.000  0.500  0.245
Y  0.000  0.500  0.755
Y  0.500  0.000  0.245
Y  0.500  0.000  0.755
Ru  0.000  0.000  0.000
Ru  0.000  0.000  0.500
Ru  0.500  0.500  0.000
Pt  0.500  0.500  0.500

Record 4
Entry from Alexandria: an optimized crystal structure of YZnRu2Pt (PBE).

Values from the calculation:
Space group: P4/mmm
Energy of formation from the pure elements: 1.630 eV per atom

a b c (Å): 4.885 4.885 5.082
angles (deg): 90.00 90.00 90.00
Positions (direct):
Y  0.000  0.000  0.000
Zn  0.500  0.500  0.500
Ru  0.000  0.500  0.000
Ru  0.500  0.000  0.000
Pt  0.000  0.000  0.500

Record 5
Entry from Alexandria: an optimized crystal structure of YZrRuPt2 (PBE).

Values from the calculation:
Space group: P4/mmm
Energy of formation from the pure elements: 0.882 eV per atom

a b c (Å): 4.999 4.999 4.720
angles (deg): 90.00 90.00 90.00
Positions (direct):
Y  0.000  0.000  0.000
Zr  0.500  0.500  0.500
Ru  0.000  0.000  0.500
Pt  0.000  0.500  0.000
Pt  0.500  0.000  0.000

Record 6
Entry from Alexandria: an optimized crystal structure of ZnRuPt2 (PBE).

Values from the calculation:
Space group: Fmmm
Energy of formation from the pure elements: -0.145 eV per atom

a b c (Å): 4.771 4.767 3.892
angles (deg): 65.96 65.87 48.17
Positions (direct):
Zn  0.000  0.000  0.000
Ru  0.500  0.500  0.500
Pt  0.250  0.250  0.250
Pt  0.750  0.750  0.750

Record 7
Entry from Alexandria: an optimized crystal structure of Zn2RuPt (PBE).

Values from the calculation:
Space group: Cm
Energy of formation from the pure elements: -0.212 eV per atom

a b c (Å): 5.133 5.133 4.661
angles (deg): 113.52 113.52 31.02
Positions (direct):
Zn  0.000  0.000  0.000
Zn  0.238  0.238  0.572
Ru  0.490  0.490  0.499
Pt  0.750  0.750  0.077

Record 8
Entry from Alexandria: an optimized crystal structure of Zn2RuPt2 (PBE).

Values from the calculation:
Space group: I4/mmm
Energy of formation from the pure elements: 0.242 eV per atom
Energy relative to the lowest polymorph listed for this composition: 361 meV per atom

a b c (Å): 6.355 6.355 6.355
angles (deg): 145.60 145.60 49.45
Positions (direct):
Zn  0.100  0.100  0.000
Zn  0.900  0.900  0.000
Ru  0.500  0.500  0.000
Pt  0.250  0.750  0.500
Pt  0.750  0.250  0.500

Record 9
Entry from Alexandria: an optimized crystal structure of ZnRuPt2 (PBE).

Values from the calculation:
Space group: R-3m
Energy of formation from the pure elements: -0.172 eV per atom

a b c (Å): 8.994 8.994 8.994
angles (deg): 17.75 17.75 17.75
Positions (direct):
Zn  0.000  0.000  0.000
Ru  0.500  0.500  0.500
Pt  0.251  0.251  0.251
Pt  0.749  0.749  0.749

Record 10
Entry from Alexandria: an optimized crystal structure of ZnRu2Pt (PBE).

Values from the calculation:
Space group: R3m
Energy of formation from the pure elements: -0.067 eV per atom

a b c (Å): 8.968 8.968 8.968
angles (deg): 17.65 17.65 17.65
Positions (direct):
Zn  0.000  0.000  0.000
Ru  0.494  0.494  0.494
Ru  0.750  0.750  0.750
Pt  0.250  0.250  0.250

Record 11
Entry from Alexandria: an optimized crystal structure of ZnRuPt2 (PBE).

Values from the calculation:
Space group: C2/m
Energy of formation from the pure elements: -0.103 eV per atom

a b c (Å): 4.756 4.756 4.786
angles (deg): 98.97 98.97 33.80
Positions (direct):
Zn  0.000  0.000  0.000
Ru  0.500  0.500  0.500
Pt  0.249  0.249  0.747
Pt  0.751  0.751  0.253

Record 12
Entry from Alexandria: an optimized crystal structure of ZnRuPt2 (PBE).

Values from the calculation:
Space group: I-4m2
Energy of formation from the pure elements: -0.120 eV per atom

a b c (Å): 4.716 4.716 4.716
angles (deg): 130.59 130.59 72.46
Positions (direct):
Zn  0.000  0.000  0.000
Ru  0.750  0.250  0.500
Pt  0.250  0.750  0.500
Pt  0.500  0.500  0.000

Record 13
Entry from Alexandria: an optimized crystal structure of ZnRuPt2 (PBE).

Values from the calculation:
Space group: P4/mmm
Energy of formation from the pure elements: -0.093 eV per atom

a b c (Å): 3.844 3.844 4.011
angles (deg): 90.00 90.00 90.00
Positions (direct):
Zn  0.000  0.000  0.000
Ru  0.500  0.500  0.000
Pt  0.000  0.500  0.500
Pt  0.500  0.000  0.500

In order of appearance, calculated density = 10.30 7.24 8.79 7.55 9.45 15.67 12.31 12.67 15.66 13.27 15.56 15.63 15.60 g cm⁻³.